CsHg2C2 meta-GGA SCAN single point on PBEsol structure; total magnetic moment = 0.0 μB/f.u.; total DFT energy (no corrections) = -37.3884 eV/atom; density of states at the Fermi level = 0.2791 states/eV per atom; calculated formation energy = 1.480 eV/atom
1.0
4.384 0.000 0.000
0.000 4.384 0.000
-2.192 -2.192 5.946
Cs C Hg
1 2 2
direct
0.000 0.000 0.000
0.250 0.750 0.500
0.750 0.250 0.500
0.302 0.302 0.603
0.698 0.698 0.397